DFT (PBE) results for an optimized crystal structure of ScCu2Ni.

Lattice parameters (Å, degrees): 3.591 3.591 18.391 90.00 90.00 90.00
Space group I-42d (No. 122)
Inequivalent atoms, fractional coordinates:
Sc1 0.000 0.000 0.000
Cu1 0.222 0.250 0.625
Ni1 0.000 0.000 0.500

Values from the calculation:
DFT formation energy (meV/atom): 21



DFT (PBE) results for an optimized crystal structure of LaHf2Ni.

Lattice parameters (Å, degrees): 4.105 4.105 21.549 90.00 90.00 90.00
Space group I-42d (No. 122)
Inequivalent atoms, fractional coordinates:
La1 0.000 0.000 0.000
Hf1 0.235 0.250 0.625
Ni1 0.000 0.000 0.500

Values from the calculation:
DFT formation energy (meV/atom): 368



DFT (PBE) results for an optimized crystal structure of CaIr3Rh.

Lattice parameters (Å, degrees): 4.781 4.781 4.781 90.00 90.00 90.00
Space group Pm-3m (No. 221)
Inequivalent atoms, fractional coordinates:
Ca1 0.000 0.000 0.000
Ir1 0.000 0.500 0.500
Rh1 0.500 0.500 0.500

Values from the calculation:
DFT formation energy (meV/atom): 1132



DFT (PBE) results for an optimized crystal structure of Li2NiSe.

Lattice parameters (Å, degrees): 3.521 3.445 4.774 90.00 90.12 90.00
Space group P2/m (No. 10)
Inequivalent atoms, fractional coordinates:
Li1 0.001 0.000 0.256
Ni1 0.500 0.500 0.000
Se1 0.500 0.500 0.500

Values from the calculation:
Raw formation energy (eV/atom): -0.382



DFT (PBE) results for an optimized crystal structure of NaEr2Th.

Lattice parameters (Å, degrees): 3.5327 3.5327 37.3987 90.00 90.00 120.00
Space group R-3m (No. 166, hexagonal axes)
Inequivalent atoms, fractional coordinates:
Na1 0.0000 0.0000 0.0000
Er1 0.0000 0.0000 0.0933
Th1 0.0000 0.0000 0.5000

Values from the calculation:
DFT formation energy (meV/atom): 156



DFT (PBE) results for an optimized crystal structure of SbTe2PbS.

Lattice parameters (Å, degrees): 5.807 5.807 5.946 90.00 90.00 90.00
Space group P4/mmm (No. 123)
Inequivalent atoms, fractional coordinates:
Sb1 0.000 0.000 0.000
Te1 0.000 0.500 0.500
Pb1 0.000 0.000 0.500
S1 0.500 0.500 0.000

Values from the calculation:
Raw formation energy (eV/atom): 1.075



DFT (PBE) results for an optimized crystal structure of NaLiAcSn2.

Lattice parameters (Å, degrees): 4.665 4.665 13.407 90.00 90.00 90.00
Space group I-4m2 (No. 119)
Inequivalent atoms, fractional coordinates:
Na1 0.000 0.000 0.000
Li1 0.000 0.000 0.500
Ac1 0.000 0.500 0.750
Sn1 0.000 0.500 0.143

Values from the calculation:
DFT formation energy (meV/atom): -428



DFT (PBE) results for an optimized crystal structure of ZnFeCu2.

Lattice parameters (Å, degrees): 2.513 4.093 4.931 90.00 100.16 90.00
Space group P2/m (No. 10)
Inequivalent atoms, fractional coordinates:
Zn1 0.000 0.000 0.000
Fe1 0.500 0.000 0.500
Cu1 0.235 0.500 0.745

Values from the calculation:
DFT formation energy (meV/atom): 87



DFT (PBE) results for an optimized crystal structure of POs4Pb.

Lattice parameters (Å, degrees): 7.457 7.457 7.457 90.00 90.00 90.00
Space group F-43m (No. 216)
Inequivalent atoms, fractional coordinates:
P1 0.000 0.000 0.000
Os1 0.126 0.126 0.374
Pb1 0.250 0.250 0.750

Values from the calculation:
DFT formation energy (meV/atom): 1175



DFT (PBE) results for an optimized crystal structure of PuSc2Co.

Lattice parameters (Å, degrees): 3.151 3.151 8.234 90.00 90.00 90.00
Space group P4/mmm (No. 123)
Inequivalent atoms, fractional coordinates:
Pu1 0.000 0.000 0.000
Sc1 0.500 0.500 0.316
Co1 0.000 0.000 0.500

Values from the calculation:
DFT formation energy (meV/atom): -118



DFT (PBE) results for an optimized crystal structure of ScRe2Sb.

Lattice parameters (Å, degrees): 3.032 4.166 5.562 90.00 90.00 90.00
Space group Pmm2 (No. 25)
Inequivalent atoms, fractional coordinates:
Sc1 0.000 0.000 0.000
Re1 0.000 0.000 0.466
Re2 0.500 0.500 0.262
Sb1 0.500 0.500 0.743

Values from the calculation:
Raw formation energy (eV/atom): 0.128



DFT (PBE) results for an optimized crystal structure of CaLa2Zn2Sn2.

Lattice parameters (Å, degrees): 4.7521 4.7521 29.5843 90.00 90.00 120.00
Space group R-3m (No. 166, hexagonal axes)
Inequivalent atoms, fractional coordinates:
Ca1 0.0000 0.0000 0.0000
La1 0.0000 0.0000 0.1309
Zn1 0.0000 0.0000 0.4140
Sn1 0.0000 0.0000 0.2655

Values from the calculation:
DFT formation energy (meV/atom): -387



DFT (PBE) results for an optimized crystal structure of NdMgCu.

Lattice parameters (Å, degrees): 3.373 3.373 11.972 90.00 90.00 90.00
Space group I4mm (No. 107)
Inequivalent atoms, fractional coordinates:
Nd1 0.000 0.000 0.000
Mg1 0.000 0.000 0.718
Cu1 0.000 0.000 0.338

Values from the calculation:
DFT formation energy (meV/atom): -63



DFT (PBE) results for an optimized crystal structure of NaTaBCl2.

Lattice parameters (Å, degrees): 4.835 4.835 4.713 90.00 90.00 90.00
Space group P4/mmm (No. 123)
Inequivalent atoms, fractional coordinates:
Na1 0.000 0.000 0.000
Ta1 0.500 0.500 0.000
B1 0.000 0.000 0.500
Cl1 0.000 0.500 0.500

Values from the calculation:
Raw formation energy (eV/atom): 1.498



DFT (PBE) results for an optimized crystal structure of RbTl2In3.

Lattice parameters (Å, degrees): 17.697 4.594 11.664 90.00 122.23 90.00
Space group C2/m (No. 12)
Inequivalent atoms, fractional coordinates:
Rb1 0.109 0.000 0.471
Tl1 0.096 0.500 0.754
Tl2 0.218 0.000 0.272
In1 0.069 0.500 0.163
In2 0.075 0.000 0.945
In3 0.240 0.500 0.088

Values from the calculation:
DFT formation energy (meV/atom): -67



DFT (PBE) results for an optimized crystal structure of Pa3Ga5Ni.

Lattice parameters (Å, degrees): 6.8467 6.8467 4.3273 90.00 90.00 120.00
Space group P-62m (No. 189)
Inequivalent atoms, fractional coordinates:
Pa1 0.0000 0.4053 0.0000
Ga1 0.0000 0.7659 0.5000
Ga2 0.3333 0.6667 0.5000
Ni1 0.0000 0.0000 0.0000

Values from the calculation:
DFT formation energy (meV/atom): -338



DFT (PBE) results for an optimized crystal structure of La4Mg.

Lattice parameters (Å, degrees): 7.355 7.355 7.355 90.00 90.00 90.00
Space group Im-3m (No. 229)
Inequivalent atoms, fractional coordinates:
La1 0.250 0.250 0.250
Mg1 0.000 0.000 0.000

Values from the calculation:
DFT formation energy (meV/atom): 483



DFT (PBE) results for an optimized crystal structure of UVNi.

Lattice parameters (Å, degrees): 4.3401 4.3401 2.7254 90.00 90.00 120.00
Space group P3m1 (No. 156)
Inequivalent atoms, fractional coordinates:
U1 0.0000 0.0000 0.0000
V1 0.3333 0.6667 0.1881
Ni1 0.6667 0.3333 0.6040

Values from the calculation:
DFT formation energy (meV/atom): 194